(A)
## SrEuAu2 (GGA-PBE)

Data for a relaxed SrEuAu2 crystal.

As for the density of states at the Fermi level: 2.471 states/eV/atom.

It has space group Fm-3m (No. 225), with a = 7.586 Å, b = 7.586 Å, c = 7.586 Å, α = 90.00°, β = 90.00° and γ = 90.00°. The inequivalent atoms are Sr at (0.000, 0.000, 0.000), Eu at (0.000, 0.000, 0.500) and Au at (0.250, 0.250, 0.250).

---

(B)
## SrEuAu2 (GGA-PBE)

Data for a relaxed SrEuAu2 crystal.

As for the density of states at the Fermi level: 2.071 states/eV/atom.

It has space group P4/mmm (No. 123), with a = 3.792 Å, b = 3.792 Å, c = 7.581 Å, α = 90.00°, β = 90.00° and γ = 90.00°. The inequivalent atoms are Sr at (0.000, 0.000, 0.000), Eu at (0.000, 0.000, 0.500) and Au at (0.500, 0.500, 0.264).

---

Quick one: least stable of them? (A)

---

(A)
## TbEuAu2 (GGA-PBE)

Data for a relaxed TbEuAu2 crystal.

As for the density of states at the Fermi level: 2.249 states/eV/atom.

It has space group P4/mmm (No. 123), with a = 3.673 Å, b = 3.673 Å, c = 7.398 Å, α = 90.00°, β = 90.00° and γ = 90.00°. The inequivalent atoms are Tb at (0.000, 0.000, 0.000), Eu at (0.000, 0.000, 0.500) and Au at (0.500, 0.500, 0.221).

---

(B)
## TbEuAu2 (GGA-PBE)

Data for a relaxed TbEuAu2 crystal.

As for the density of states at the Fermi level: 3.446 states/eV/atom.

It has space group R-3m (No. 166, hexagonal axes), with a = 4.2845 Å, b = 4.2845 Å, c = 21.3281 Å, α = 90.00°, β = 90.00° and γ = 120.00°. The inequivalent atoms are Tb at (0.0000, 0.0000, 0.0000), Eu at (0.0000, 0.0000, 0.5000) and Au at (0.0000, 0.0000, 0.2570).

---

(C)
## TbEuAu2 (GGA-PBE)

Data for a relaxed TbEuAu2 crystal.

As for the density of states at the Fermi level: 2.233 states/eV/atom.

It has space group Fm-3m (No. 225), with a = 7.332 Å, b = 7.332 Å, c = 7.332 Å, α = 90.00°, β = 90.00° and γ = 90.00°. The inequivalent atoms are Tb at (0.000, 0.000, 0.000), Eu at (0.000, 0.000, 0.500) and Au at (0.250, 0.250, 0.250).

---

Quick one: least stable of them? (B)

---

(A)
## Tb2EuAu (GGA-PBE)

Data for a relaxed Tb2EuAu crystal.

As for the density of states at the Fermi level: 1.233 states/eV/atom.

It has space group P4/mmm (No. 123), with a = 3.664 Å, b = 3.664 Å, c = 8.963 Å, α = 90.00°, β = 90.00° and γ = 90.00°. The inequivalent atoms are Tb at (0.000, 0.000, 0.192), Eu at (0.500, 0.500, 0.500) and Au at (0.500, 0.500, 0.000).

---

(B)
## Tb2EuAu (GGA-PBE)

Data for a relaxed Tb2EuAu crystal.

As for the density of states at the Fermi level: 1.198 states/eV/atom.

It has space group R-3m (No. 166, hexagonal axes), with a = 3.8332 Å, b = 3.8332 Å, c = 30.5580 Å, α = 90.00°, β = 90.00° and γ = 120.00°. The inequivalent atoms are Tb at (0.0000, 0.0000, 0.2307), Eu at (0.0000, 0.0000, 0.0000) and Au at (0.0000, 0.0000, 0.5000).

---

Quick one: least stable of them? (B)

---

(A)
## EuTmAu (GGA-PBE)

Data for a relaxed EuTmAu crystal.

As for the density of states at the Fermi level: 0.497 states/eV/atom.

It has space group I4mm (No. 107), with a = 3.662 Å, b = 3.662 Å, c = 12.851 Å, α = 90.00°, β = 90.00° and γ = 90.00°. The inequivalent atoms are Eu at (0.000, 0.000, 0.000), Tm at (0.000, 0.000, 0.274) and Au at (0.000, 0.000, 0.664).

---

(B)
## EuTmAu (GGA-PBE)

Data for a relaxed EuTmAu crystal.

As for the density of states at the Fermi level: 1.288 states/eV/atom.

It has space group F-43m (No. 216), with a = 7.141 Å, b = 7.141 Å, c = 7.141 Å, α = 90.00°, β = 90.00° and γ = 90.00°. The inequivalent atoms are Eu at (0.000, 0.000, 0.000), Tm at (0.000, 0.000, 0.500) and Au at (0.250, 0.250, 0.250).

---

Quick one: least stable of them? (B)

---

(A)
## Eu2TmAu (GGA-PBE)

Data for a relaxed Eu2TmAu crystal.

As for the density of states at the Fermi level: 0.959 states/eV/atom.

It has space group P4/mmm (No. 123), with a = 3.739 Å, b = 3.739 Å, c = 8.886 Å, α = 90.00°, β = 90.00° and γ = 90.00°. The inequivalent atoms are Eu at (0.000, 0.000, 0.204), Tm at (0.500, 0.500, 0.500) and Au at (0.500, 0.500, 0.000).

---

(B)
## Eu2TmAu (GGA-PBE)

Data for a relaxed Eu2TmAu crystal.

As for the density of states at the Fermi level: 0.923 states/eV/atom.

It has space group R-3m (No. 166, hexagonal axes), with a = 3.7050 Å, b = 3.7050 Å, c = 33.8075 Å, α = 90.00°, β = 90.00° and γ = 120.00°. The inequivalent atoms are Eu at (0.0000, 0.0000, 0.1016), Tm at (0.0000, 0.0000, 0.0000) and Au at (0.0000, 0.0000, 0.5000).

---

Quick one: least stable of them? (B)

---

(A)
## EuZrAu2 (GGA-PBE)

Data for a relaxed EuZrAu2 crystal.

As for the density of states at the Fermi level: 2.108 states/eV/atom.

It has space group P4/mmm (No. 123), with a = 3.523 Å, b = 3.523 Å, c = 7.430 Å, α = 90.00°, β = 90.00° and γ = 90.00°. The inequivalent atoms are Eu at (0.000, 0.000, 0.000), Zr at (0.000, 0.000, 0.500) and Au at (0.500, 0.500, 0.290).

---

(B)
## EuZrAu2 (GGA-PBE)

Data for a relaxed EuZrAu2 crystal.

As for the density of states at the Fermi level: 1.429 states/eV/atom.

It has space group Fm-3m (No. 225), with a = 7.142 Å, b = 7.142 Å, c = 7.142 Å, α = 90.00°, β = 90.00° and γ = 90.00°. The inequivalent atoms are Eu at (0.000, 0.000, 0.000), Zr at (0.000, 0.000, 0.500) and Au at (0.250, 0.250, 0.250).

---

Quick one: least stable of them? (B)